1.
An optimized crystal structure of Tb5AlPd2. Source: Alexandria via LeMat-Bulk, functional PBE-GGA.

The energy relative to the elements comes out at -540.7 meV/atom. The total energy is -5.201 eV per atom.

The space group is I4/mcm (No. 140) and the conventional cell measures 7.835, 7.835 and 13.372 Å, with angles of 90.00, 90.00 and 90.00 degrees. Symmetry generates all atoms from Tb at (0.000, 0.000, 0.000), Tb at (0.160, 0.340, 0.143), Al at (0.000, 0.000, 0.250) and Pd at (0.133, 0.367, 0.500).

---

2.
An optimized crystal structure of Tb8AlPd2. Source: Alexandria via LeMat-Bulk, functional PBE-GGA.

The energy relative to the elements comes out at -279.9 meV/atom. The total energy is -4.932 eV per atom.

The space group is Cm (No. 8) and the conventional cell measures 8.667, 13.640 and 5.445 Å, with angles of 90.00, 106.84 and 90.00 degrees. Symmetry generates all atoms from Tb at (0.000, 0.000, 0.000), Tb at (0.091, 0.378, 0.766), Tb at (0.182, 0.122, 0.609), Tb at (0.274, 0.500, 0.375), Tb at (0.387, 0.236, 0.188), Al at (0.387, 0.000, 0.189) and Pd at (0.387, 0.304, 0.688).

---

3.
An optimized crystal structure of Tb2Al3Pd2. Source: Alexandria via LeMat-Bulk, functional PBE-GGA.

The energy relative to the elements comes out at -786.2 meV/atom. The total energy is -5.197 eV per atom.

The space group is C2/m (No. 12) and the conventional cell measures 10.136, 4.357 and 6.855 Å, with angles of 90.00, 114.71 and 90.00 degrees. Symmetry generates all atoms from Tb at (0.148, 0.000, 0.278), Al at (0.000, 0.500, 0.500), Al at (0.121, 0.500, 0.938) and Pd at (0.136, 0.000, 0.721).

---

4.
An optimized crystal structure of TbAlPd. Source: Alexandria via LeMat-Bulk, functional PBE-GGA.

The energy relative to the elements comes out at -872.6 meV/atom. The total energy is -5.395 eV per atom.

The space group is Pnma (No. 62) and the conventional cell measures 6.936, 4.472 and 7.793 Å, with angles of 90.00, 90.00 and 90.00 degrees. Symmetry generates all atoms from Tb at (0.033, 0.250, 0.181), Al at (0.145, 0.250, 0.563) and Pd at (0.226, 0.750, 0.384).

---

5.
An optimized crystal structure of Tb3Al6Pd20. Source: Alexandria via LeMat-Bulk, functional PBE-GGA.

The energy relative to the elements comes out at -772.0 meV/atom. The total energy is -5.607 eV per atom.

The space group is Fm-3m (No. 225) and the conventional cell measures 12.456, 12.456 and 12.456 Å, with angles of 90.00, 90.00 and 90.00 degrees. Symmetry generates all atoms from Tb at (0.000, 0.000, 0.000), Tb at (0.250, 0.250, 0.250), Al at (0.000, 0.000, 0.273), Pd at (0.000, 0.172, 0.172) and Pd at (0.120, 0.120, 0.380).

---

6.
An optimized crystal structure of Tb2AlPd6. Source: Alexandria via LeMat-Bulk, functional PBE-GGA.

The value obtained for the distance to the lowest polymorph of the same formula is 0.0 meV per atom. The energy relative to the elements comes out at -875.8 meV/atom. The total energy is -5.782 eV per atom.

The space group is P-3m1 (No. 164) and the conventional cell measures 5.7448, 5.7448 and 5.7203 Å, with angles of 90.00, 90.00 and 120.00 degrees. Symmetry generates all atoms from Tb at (0.3333, 0.6667, 0.1819), Al at (0.0000, 0.0000, 0.0000) and Pd at (0.1729, 0.3458, 0.6946).

---

7.
An optimized crystal structure of Tb3Al2Pd3. Source: Alexandria via LeMat-Bulk, functional PBE-GGA.

The energy relative to the elements comes out at -793.7 meV/atom. The total energy is -5.413 eV per atom.

The space group is P6_3/mcm (No. 193) and the conventional cell measures 8.2444, 8.2444 and 5.6025 Å, with angles of 90.00, 90.00 and 120.00 degrees. Symmetry generates all atoms from Tb at (0.0000, 0.2634, 0.2500), Al at (0.3333, 0.6667, 0.0000) and Pd at (0.0000, 0.4037, 0.7500).

---

8.
An optimized crystal structure of Tb4Al3Pd. Source: Alexandria via LeMat-Bulk, functional PBE-GGA.

The value obtained for the distance to the lowest polymorph of the same formula is 0.0 meV per atom. The energy relative to the elements comes out at -514.0 meV/atom. The total energy is -4.882 eV per atom.

The space group is P4/mmm (No. 123) and the conventional cell measures 3.584, 3.584 and 14.474 Å, with angles of 90.00, 90.00 and 90.00 degrees. Symmetry generates all atoms from Tb at (0.000, 0.000, 0.118), Tb at (0.000, 0.000, 0.373), Al at (0.500, 0.500, 0.246), Al at (0.500, 0.500, 0.500) and Pd at (0.500, 0.500, 0.000).

---

9.
An optimized crystal structure of Tb2Al6Pd. Source: Alexandria via LeMat-Bulk, functional PBE-GGA.

The energy relative to the elements comes out at -549.4 meV/atom. The total energy is -4.650 eV per atom.

The space group is P-3m1 (No. 164) and the conventional cell measures 5.8358, 5.8358 and 5.8812 Å, with angles of 90.00, 90.00 and 120.00 degrees. Symmetry generates all atoms from Tb at (0.3333, 0.6667, 0.3613), Al at (0.1736, 0.3472, 0.8212) and Pd at (0.0000, 0.0000, 0.5000).

---

10.
An optimized crystal structure of TbAlPd. Source: Alexandria via LeMat-Bulk, functional PBE-GGA.

The energy relative to the elements comes out at -866.5 meV/atom. The total energy is -5.388 eV per atom.

The space group is P-62m (No. 189) and the conventional cell measures 7.1462, 7.1462 and 4.1103 Å, with angles of 90.00, 90.00 and 120.00 degrees. Symmetry generates all atoms from Tb at (0.0000, 0.5831, 0.0000), Al at (0.0000, 0.2361, 0.5000), Pd at (0.0000, 0.0000, 0.0000) and Pd at (0.3333, 0.6667, 0.5000).